Entry from Alexandria: a relaxed structure of Tl5Se2S (PBE).

Output
The value obtained for the uncorrected formation energy is -21.8 kJ/mol of atoms.

a = 5.9771 Å, b = 8.3548 Å, c = 14.4943 Å
α = 90.00°, β = 90.00°, γ = 110.96°
Fractional coordinates of all 16 atoms:
Tl (0.9486, 0.8971, 0.8720)
Tl (0.9486, 0.8971, 0.6280)
Tl (0.3044, 0.6088, 0.4249)
Tl (0.3044, 0.6088, 0.0751)
Tl (0.7669, 0.5337, 0.2500)
Tl (0.2331, 0.4663, 0.7500)
Tl (0.6956, 0.3912, 0.5751)
Tl (0.6956, 0.3912, 0.9249)
Tl (0.0514, 0.1029, 0.1280)
Tl (0.0514, 0.1029, 0.3720)
Se (0.8535, 0.7070, 0.4506)
Se (0.8535, 0.7070, 0.0494)
Se (0.1465, 0.2930, 0.5494)
Se (0.1465, 0.2930, 0.9506)
S (0.7903, 0.5805, 0.7500)
S (0.2097, 0.4195, 0.2500)


Entry from Alexandria: a relaxed structure of SbAsCl2 (PBE).

Output
The value obtained for the uncorrected formation energy is -0.1 kJ/mol of atoms.

a = 4.9170 Å, b = 4.9170 Å, c = 4.9170 Å
α = 60.00°, β = 60.00°, γ = 60.00°
Fractional coordinates of all 4 atoms:
Sb (0.7500, 0.7500, 0.7500)
As (0.5000, 0.5000, 0.5000)
Cl (0.0000, 0.0000, 0.0000)
Cl (0.2500, 0.2500, 0.2500)


Entry from Alexandria: a relaxed structure of DyScCuPd (PBE).

Output
Its raw total energy is -5.61 eV per atom.

a = 4.8057 Å, b = 4.8057 Å, c = 4.8057 Å
α = 60.00°, β = 60.00°, γ = 60.00°
Fractional coordinates of all 4 atoms:
Sc (0.5000, 0.5000, 0.5000)
Cu (0.2500, 0.2500, 0.2500)
Pd (0.7500, 0.7500, 0.7500)
Dy (0.0000, 0.0000, 0.0000)